First-principles (GGA-PBE) data for a relaxed ReNiP2 crystal, as listed in Alexandria.

The structure in extended XYZ format:
```
4
Lattice="3.224 0.000 0.000 0.000 3.889 0.000 -0.497 0.000 4.450" Properties=species:S:1:pos:R:3 pbc="T T T"
Re 0.000 0.000 0.000
Ni 1.364 0.000 2.225
P 0.416 1.945 1.358
P 2.311 1.945 3.092
```

Values from the calculation:
Its crystal system is monoclinic. Its formation energy is 0.173 eV per atom. Its calculated density is 9.1 Mg/m³. As for the space-group type: P2/m. Its offset from the most stable computed form is 430.9 meV/atom.